No. 1
First-principles (PBE) data for an optimized crystal structure of LaHoPb, as listed in Alexandria via LeMat-Bulk.

abc: 4.717 4.717 8.815
angles: 90.02 90.03 90.01
Site moments in Bohr magnetons follow the coordinates.
Positions (direct):
Pb (0.814, 0.867, 0.183)  0.00
Pb (0.313, 0.366, 0.656)  0.00
Ho (0.313, 0.867, 0.920)  0.20
Ho (0.814, 0.366, 0.920)  0.20
La (0.813, 0.866, 0.571)  0.15
La (0.314, 0.367, 0.268)  0.15

Values from the calculation:
ΔE to the lowest computed polymorph	32	meV/atom
V	32.69	A^3/atom
electronic total energy	-4.860	eV/atom
ΔE_f	-455	meV/atom

***

No. 2
First-principles (PBE) data for an optimized crystal structure of CsSn2Te4, as listed in Alexandria via LeMat-Bulk.

abc: 9.018 9.018 9.018
angles: 112.70 103.19 112.70
Positions (direct):
Sn (0.375, 0.852, 0.727)
Sn (0.477, 0.352, 0.625)
Sn (0.273, 0.648, 0.125)
Sn (0.875, 0.148, 0.523)
Te (0.204, 0.442, 0.438)
Te (0.754, 0.266, 0.812)
Te (0.996, 0.558, 0.762)
Te (0.562, 0.766, 0.004)
Te (0.546, 0.734, 0.488)
Te (0.512, 0.058, 0.246)
Te (0.188, 0.942, 0.454)
Te (0.238, 0.234, 0.796)
Cs (0.750, 0.500, 0.250)
Cs (0.000, 0.000, 0.000)

Values from the calculation:
energy relative to the elements, uncorrected	-179	kJ/mol of formula units
ΔE to the lowest computed polymorph	122	meV/atom
V	39.97	A^3/atom
electronic total energy	-3.326	eV/atom

***

No. 3
First-principles (PBE) data for an optimized crystal structure of Tb3SmY3, as listed in Alexandria via LeMat-Bulk.

abc: 5.704 9.629 9.628
angles: 120.01 90.00 90.00
Positions (direct):
Tb (0.750, 0.049, 0.237)
Tb (0.250, 0.812, 0.049)
Tb (0.750, 0.188, 0.951)
Tb (0.750, 0.763, 0.812)
Tb (0.250, 0.951, 0.763)
Tb (0.250, 0.237, 0.188)
Sm (0.750, 0.333, 0.667)
Sm (0.250, 0.667, 0.333)
Y (0.750, 0.620, 0.096)
Y (0.250, 0.380, 0.904)
Y (0.750, 0.476, 0.380)
Y (0.750, 0.904, 0.525)
Y (0.250, 0.096, 0.475)
Y (0.250, 0.524, 0.620)

Values from the calculation:
ΔE to the lowest computed polymorph	0	meV/atom
V	32.71	A^3/atom
electronic total energy	-5.418	eV/atom
ΔE_f	11	meV/atom

***

Values for spin magnetization, μB per cell, ordered as above
1.43; 0.00; 0.00